No. 1
{
  "formula": "CrInTe2",
  "functional": "PBE",
  "state": "relaxed",
  "cell": [[-0.193, -2.564, 3.223], [-3.177, -5.420, -4.502], [3.669, -1.405, -0.898]],
  "species": ["Cr", "In", "Te", "Te"],
  "fractional_positions": [[0.500, 0.000, 0.500], [0.000, 0.500, 0.500], [0.000, 0.000, 0.000], [0.500, 0.500, 0.000]],
  "raw_formation_energy_kj_per_mol_fu": 77.8
}

No. 2
{
  "formula": "Tl2CrInTe4",
  "functional": "PBE",
  "state": "relaxed",
  "cell": [[-2.024, 8.614, -0.086], [-2.789, -0.607, 8.381], [8.034, -2.439, -1.940]],
  "species": ["Tl", "Tl", "Tl", "Tl", "Cr", "Cr", "In", "In", "Te", "Te", "Te", "Te", "Te", "Te", "Te", "Te"],
  "fractional_positions": [[0.500, 0.000, 0.000], [0.500, 0.000, 0.500], [0.000, 0.000, 0.500], [0.500, 0.500, 0.000], [0.000, 0.500, 0.000], [0.000, 0.500, 0.500], [0.500, 0.500, 0.500], [0.000, 0.000, 0.000], [0.197, 0.711, 0.954], [0.789, 0.303, 0.546], [0.211, 0.697, 0.454], [0.803, 0.289, 0.046], [0.775, 0.724, 0.986], [0.777, 0.724, 0.514], [0.223, 0.276, 0.486], [0.225, 0.276, 0.014]],
  "raw_formation_energy_kj_per_mol_fu": -184.2
}

No. 3
{
  "formula": "Tl2Cr2InTe6",
  "functional": "PBE",
  "state": "relaxed",
  "cell": [[7.216, -0.100, 0.081], [-3.653, 6.223, 0.081], [-1.243, -2.136, 7.794]],
  "species": ["Tl", "Tl", "Cr", "Cr", "In", "Te", "Te", "Te", "Te", "Te", "Te"],
  "fractional_positions": [[0.844, 0.156, 0.000], [0.156, 0.844, 0.000], [0.329, 0.671, 0.500], [0.671, 0.329, 0.500], [0.000, 0.000, 0.500], [0.700, 0.700, 0.690], [0.061, 0.421, 0.696], [0.300, 0.300, 0.310], [0.421, 0.061, 0.696], [0.939, 0.579, 0.304], [0.579, 0.939, 0.304]],
  "raw_formation_energy_kj_per_mol_fu": -246.4
}

No. 4
{
  "formula": "VCr2InTe",
  "functional": "PBE",
  "state": "relaxed",
  "cell": [[-1.024, 2.783, 4.078], [3.593, -2.512, 2.616], [3.433, 3.395, -1.454]],
  "species": ["Cr", "Cr", "V", "Te", "In"],
  "fractional_positions": [[0.000, 0.000, 0.500], [0.500, 0.000, 0.000], [0.000, 0.500, 0.000], [0.500, 0.500, 0.500], [0.000, 0.000, 0.000]],
  "raw_formation_energy_kj_per_mol_fu": 616.8
}

No. 5
{
  "formula": "ZnCrIn2Te",
  "functional": "PBE",
  "state": "relaxed",
  "cell": [[5.371, 0.000, 0.000], [0.000, 4.962, 0.000], [0.000, 0.000, 5.371]],
  "species": ["Cr", "Zn", "Te", "In", "In"],
  "fractional_positions": [[0.000, 0.000, 0.000], [0.000, 0.500, 0.000], [0.500, 0.500, 0.500], [0.000, 0.000, 0.500], [0.500, 0.000, 0.000]],
  "raw_formation_energy_kj_per_mol_fu": 210.4
}

No. 6
{
  "formula": "Zr2CrInTe",
  "functional": "PBE",
  "state": "relaxed",
  "cell": [[5.364, 0.000, 0.000], [0.000, 4.922, 0.000], [0.000, 0.000, 5.364]],
  "species": ["Cr", "Te", "Zr", "Zr", "In"],
  "fractional_positions": [[0.000, 0.500, 0.000], [0.500, 0.500, 0.500], [0.000, 0.000, 0.500], [0.500, 0.000, 0.000], [0.000, 0.000, 0.000]],
  "raw_formation_energy_kj_per_mol_fu": 435.2
}

No. 7
{
  "formula": "TiCrIn3",
  "functional": "PBE",
  "state": "relaxed",
  "cell": [[5.014, 0.000, 0.000], [0.000, 5.014, 0.000], [0.000, 0.000, 5.014]],
  "species": ["Cr", "Ti", "In", "In", "In"],
  "fractional_positions": [[0.000, 0.000, 0.000], [0.500, 0.500, 0.500], [0.000, 0.500, 0.000], [0.000, 0.000, 0.500], [0.500, 0.000, 0.000]],
  "relative_energy_mev_per_atom": 0
}

No. 8
{
  "formula": "Ti2CrIn2",
  "functional": "PBE",
  "state": "relaxed",
  "cell": [[-4.154, 5.615, -1.164], [0.610, -0.997, -6.984], [-2.984, -2.196, 0.053]],
  "species": ["Cr", "Cr", "Ti", "Ti", "Ti", "Ti", "In", "In", "In", "In"],
  "fractional_positions": [[0.000, 0.000, 0.000], [0.500, 0.500, 0.000], [0.168, 0.668, 0.500], [0.668, 0.832, 0.500], [0.832, 0.332, 0.500], [0.332, 0.168, 0.500], [0.361, 0.861, 0.000], [0.861, 0.639, 0.000], [0.639, 0.139, 0.000], [0.139, 0.361, 0.000]]
}

No. 9
{
  "formula": "TiCrIn2",
  "functional": "PBE",
  "state": "relaxed",
  "cell": [[0.381, 1.392, 4.511], [-3.119, -1.526, 3.220], [1.349, -3.090, 3.325]],
  "species": ["Cr", "Ti", "In", "In"],
  "fractional_positions": [[0.500, 0.500, 0.500], [0.000, 0.000, 0.000], [0.250, 0.250, 0.250], [0.750, 0.750, 0.750]],
  "relative_energy_mev_per_atom": 38
}

No. 10
{
  "formula": "TiCrIn2",
  "functional": "PBE",
  "state": "relaxed",
  "cell": [[-0.720, -7.352, 0.943], [5.137, -1.178, -5.261], [4.241, -4.211, -0.187]],
  "species": ["Cr", "Cr", "Ti", "Ti", "In", "In", "In", "In"],
  "fractional_positions": [[0.000, 0.000, 0.000], [0.750, 0.250, 0.500], [0.500, 0.500, 0.000], [0.250, 0.750, 0.500], [0.642, 0.125, 0.250], [0.108, 0.625, 0.250], [0.375, 0.358, 0.750], [0.875, 0.892, 0.750]],
  "relative_energy_mev_per_atom": 503
}

No. 11
{
  "formula": "Ti4CrIn3",
  "functional": "PBE",
  "state": "relaxed",
  "cell": [[-0.497, 2.396, -1.922], [-1.579, -1.870, -1.922], [-12.536, 3.181, 7.209]],
  "species": ["Cr", "In", "In", "In", "Ti", "Ti", "Ti", "Ti"],
  "fractional_positions": [[0.500, 0.500, 0.000], [0.500, 0.500, 0.230], [0.500, 0.500, 0.500], [0.500, 0.500, 0.770], [0.000, 0.000, 0.908], [0.000, 0.000, 0.092], [0.000, 0.000, 0.363], [0.000, 0.000, 0.637]]
}

No. 12
{
  "formula": "TiCrIn3",
  "functional": "PBE",
  "state": "relaxed",
  "cell": [[5.234, 0.000, 0.000], [0.000, 5.234, 0.000], [0.000, 0.000, 5.234]],
  "species": ["Cr", "Ti", "In", "In", "In"],
  "fractional_positions": [[0.500, 0.500, 0.500], [0.000, 0.000, 0.000], [0.000, 0.500, 0.000], [0.000, 0.000, 0.500], [0.500, 0.000, 0.000]],
  "relative_energy_mev_per_atom": 504
}

No. 13
{
  "formula": "TiCr3In",
  "functional": "PBE",
  "state": "relaxed",
  "cell": [[4.977, 0.000, 0.000], [0.000, 4.977, 0.000], [0.000, 0.000, 4.977]],
  "species": ["Cr", "Cr", "Cr", "Ti", "In"],
  "fractional_positions": [[0.000, 0.500, 0.000], [0.000, 0.000, 0.500], [0.500, 0.000, 0.000], [0.500, 0.500, 0.500], [0.000, 0.000, 0.000]],
  "relative_energy_mev_per_atom": 398
}

No. 14
{
  "formula": "TiCrIn2",
  "functional": "PBE",
  "state": "relaxed",
  "cell": [[4.139, 0.000, 0.000], [0.000, 4.281, 0.000], [0.000, 0.000, 4.281]],
  "species": ["Cr", "Ti", "In", "In"],
  "fractional_positions": [[0.500, 0.500, 0.500], [0.500, 0.000, 0.000], [0.000, 0.000, 0.500], [0.000, 0.500, 0.000]],
  "relative_energy_mev_per_atom": 0
}

No. 15
{
  "formula": "Ti3CrIn",
  "functional": "PBE",
  "state": "relaxed",
  "cell": [[-0.644, -4.331, 1.285], [3.811, 0.177, 2.505], [-2.427, 1.427, 3.592]],
  "species": ["Cr", "Ti", "Ti", "Ti", "In"],
  "fractional_positions": [[0.000, 0.000, 0.000], [0.000, 0.500, 0.000], [0.000, 0.000, 0.500], [0.500, 0.000, 0.000], [0.500, 0.500, 0.500]],
  "relative_energy_mev_per_atom": 0
}

No. 16
{
  "formula": "TiCrIn",
  "functional": "PBE",
  "state": "relaxed",
  "cell": [[2.953, 0.000, 0.000], [0.000, 2.953, 0.000], [-1.477, -1.477, 12.008]],
  "species": ["Cr", "Cr", "Ti", "Ti", "In", "In"],
  "fractional_positions": [[0.277, 0.277, 0.554], [0.723, 0.723, 0.446], [0.155, 0.155, 0.310], [0.845, 0.845, 0.690], [0.561, 0.561, 0.123], [0.439, 0.439, 0.877]]
}

No. 17
{
  "formula": "TiCr3In",
  "functional": "PBE",
  "state": "relaxed",
  "cell": [[4.354, 0.000, 0.000], [0.000, 4.354, 0.000], [0.000, 0.000, 4.354]],
  "species": ["Cr", "Cr", "Cr", "Ti", "In"],
  "fractional_positions": [[0.000, 0.500, 0.000], [0.000, 0.000, 0.500], [0.500, 0.000, 0.000], [0.000, 0.000, 0.000], [0.500, 0.500, 0.500]],
  "relative_energy_mev_per_atom": 0
}

No. 18
{
  "formula": "TiVCr2In",
  "functional": "PBE",
  "state": "relaxed",
  "cell": [[-3.442, -2.114, 2.525], [3.109, -0.867, 3.512], [-1.097, 4.181, 2.003]],
  "species": ["Cr", "Cr", "V", "Ti", "In"],
  "fractional_positions": [[0.000, 0.000, 0.500], [0.500, 0.000, 0.000], [0.000, 0.500, 0.000], [0.500, 0.500, 0.500], [0.000, 0.000, 0.000]]
}

No. 19
{
  "formula": "TlCr2In",
  "functional": "PBE",
  "state": "relaxed",
  "cell": [[-1.683, -3.355, 2.472], [-0.008, -2.665, -3.621], [3.561, -1.162, 0.847]],
  "species": ["Cr", "Cr", "In", "Tl"],
  "fractional_positions": [[0.000, 0.000, 0.000], [0.500, 0.500, 0.000], [0.500, 0.000, 0.500], [0.000, 0.500, 0.500]],
  "relative_energy_mev_per_atom": 207
}

No. 20
{
  "formula": "TlCr2In",
  "functional": "PBE",
  "state": "relaxed",
  "cell": [[3.092, 0.000, 0.000], [0.000, 3.085, 0.012], [0.000, 1.506, 8.054]],
  "species": ["Cr", "Cr", "In", "Tl"],
  "fractional_positions": [[0.000, 0.908, 0.058], [0.500, 0.337, 0.202], [0.000, 0.717, 0.443], [0.500, 0.538, 0.796]],
  "relative_energy_mev_per_atom": 0
}

no.,spin magnetization (μB/f.u.),total DFT energy (no corrections) (Ha/atom)
1,4.2,-0.1639
2,2.8,-0.1450
3,5.5,-0.1608
4,10.4,-0.2047
5,4.6,-0.1274
6,3.3,-0.2065
7,1.5,-0.1592
8,0.0,-0.2142
9,1.8,-0.2050
10,0.0,-0.1879
11,0.0,-0.2318
12,0.8,-0.1406
13,9.8,-0.2276
14,3.3,-0.2064
15,1.1,-0.2499
16,0.0,-0.2487
17,0.0,-0.2422
18,0.0,-0.2083
19,7.2,-0.2035
20,0.1,-0.2111